A relaxed structure of NdLuGaRh. Source: the Alexandria database, functional GGA-PBE.

```
NdLuGaRh
1.0
5.0017 0.0000 0.0000
2.5008 4.3316 0.0000
2.5008 1.4439 4.0838
Rh Lu Nd Ga
1 1 1 1
Cartesian
7.5025 4.3316 3.0629
0.0000 0.0000 0.0000
5.0017 2.8877 2.0419
2.5008 1.4439 1.0210
```

Output
crystal system = cubic
spin magnetization = 0.00 μB/f.u.
DFT total energy = -5.535 eV per atom
DOS(E_F) = 3.17 states/eV per cell
formation enthalpy at 0 K = -0.619 eV per atom

=====

A relaxed structure of CsLa2TlRu. Source: the Alexandria database, functional GGA-PBE.

```
CsLa2TlRu
1.0
5.5573 0.0000 0.0000
0.0000 5.5573 0.0000
0.0000 0.0000 5.6184
Cs Ru Tl La
1 1 1 2
Cartesian
2.7786 2.7786 2.8092
0.0000 0.0000 0.0000
0.0000 0.0000 2.8092
0.0000 2.7786 0.0000
2.7786 0.0000 0.0000
```

Output
crystal system = tetragonal
spin magnetization = 0.00 μB/f.u.
DFT total energy = -4.496 eV per atom
DOS(E_F) = 4.59 states/eV per cell
formation enthalpy at 0 K = -0.026 eV per atom

=====

A relaxed structure of CaLa2Ho. Source: the Alexandria database, functional GGA-PBE.

```
CaLa2Ho
1.0
3.6959 0.0000 0.0000
1.8479 3.2007 0.0000
1.8479 1.0669 12.3560
Ca La Ho
1 2 1
Cartesian
3.6959 2.1338 6.1875
1.8479 1.0669 9.4630
1.8479 1.0669 2.8866
5.5438 3.2007 12.3529
```

Output
crystal system = trigonal
spin magnetization = 0.00 μB/f.u.
DFT total energy = -4.070 eV per atom
DOS(E_F) = 5.26 states/eV per cell
formation enthalpy at 0 K = 0.039 eV per atom

=====

A relaxed structure of Tb2Zn2SnRh5. Source: the Alexandria database, functional GGA-PBE.

```
Tb2Zn2SnRh5
1.0
3.6674 0.0000 0.0000
0.0000 9.7091 0.0000
0.0000 0.0000 9.7091
Tb Zn Sn Rh
4 4 2 10
Cartesian
0.0000 6.5420 1.6874
0.0000 3.1671 8.0217
0.0000 1.6874 3.1671
0.0000 8.0217 6.5420
0.0000 1.2018 6.0563
0.0000 8.5073 3.6528
0.0000 6.0563 8.5073
0.0000 3.6528 1.2018
0.0000 0.0000 0.0000
0.0000 4.8546 4.8546
1.8337 1.9950 0.6632
1.8337 7.7141 9.0460
1.8337 0.6632 7.7141
1.8337 6.8495 4.1914
1.8337 9.0460 1.9950
1.8337 2.8596 5.5177
1.8337 5.5177 6.8495
1.8337 4.1914 2.8596
1.8337 4.8546 0.0000
1.8337 0.0000 4.8546
```

Output
crystal system = tetragonal
spin magnetization = 0.00 μB/f.u.
DFT total energy = -5.918 eV per atom
DOS(E_F) = 12.57 states/eV per cell
formation enthalpy at 0 K = -0.661 eV per atom

=====

A relaxed structure of TlAgBiBr5. Source: the Alexandria database, functional GGA-PBE.

```
TlAgBiBr5
1.0
-0.0439 7.7889 -2.0428
-7.1746 -3.2704 -1.6348
-0.0405 0.4212 10.7089
Tl Ag Bi Br
2 2 2 10
Cartesian
-4.6107 0.8270 0.8952
-2.6483 4.1127 6.1362
-2.2601 4.4727 0.7607
-4.9989 0.4670 6.2707
-0.0202 0.2106 5.3544
0.0000 0.0000 0.0000
-6.5633 -2.2014 1.0069
-0.6956 7.1411 6.0244
-2.3241 6.1750 -1.3107
-4.9349 -1.2353 8.3420
-0.6150 5.2226 2.7415
-6.6439 -0.2829 4.2898
-4.5065 3.9386 2.2310
-2.7525 1.0011 4.8003
-1.8671 2.1323 -0.6036
-5.3918 2.8074 7.6349
```

Output
crystal system = monoclinic
spin magnetization = 0.00 μB/f.u.
DFT total energy = -2.844 eV per atom
DOS(E_F) = 0.00 states/eV per cell
energy relative to the elements, uncorrected = -662 meV/atom

=====

A relaxed structure of BaAu2. Source: the Alexandria database, functional GGA-PBE.

```
BaAu2
1.0
2.4068 5.5738 0.0360
-2.4068 5.5738 0.0360
0.0000 1.1895 6.7447
Ba Au
2 4
Cartesian
0.0000 1.0548 3.4887
0.0000 8.9296 6.6022
0.0000 11.0267 0.3436
0.0000 8.9078 3.0177
0.0000 4.3213 4.3946
0.0000 4.4304 1.4908
```

Output
crystal system = monoclinic
spin magnetization = 0.00 μB/f.u.
DFT total energy = -3.433 eV per atom
DOS(E_F) = 0.87 states/eV per cell
formation enthalpy at 0 K = -0.607 eV per atom

=====

A relaxed structure of CoSe2Br. Source: the Alexandria database, functional GGA-PBE.

```
CoSe2Br
1.0
2.1263 0.0000 7.4897
-1.0632 1.8415 7.4897
-1.0632 -1.8415 7.4897
Co Se Br
1 2 1
Cartesian
0.0000 0.0000 11.2345
0.0000 0.0000 19.8461
0.0000 0.0000 2.6230
0.0000 0.0000 0.0000
```

Output
crystal system = trigonal
spin magnetization = 0.00 μB/f.u.
DFT total energy = -4.143 eV per atom
DOS(E_F) = 2.13 states/eV per cell
energy relative to the elements, uncorrected = -206 meV/atom

=====

A relaxed structure of Ti12Mo6Ir. Source: the Alexandria database, functional GGA-PBE.

```
Ti12Mo6Ir
1.0
6.7747 0.6061 0.7261
-0.4280 6.7882 0.7261
-0.4280 -0.4986 6.8087
Ti Mo Ir
12 6 1
Cartesian
5.0299 3.8282 3.8443
2.3000 5.4415 4.4535
3.0214 2.7903 6.1497
0.8888 3.0675 4.4165
3.6186 1.4542 3.8073
2.8973 4.1053 2.1111
0.0457 0.9136 2.7173
5.0225 4.2549 7.5945
3.4443 6.4699 6.8764
5.8730 5.9821 5.5435
0.8961 2.6408 0.6663
2.4744 0.4258 1.3845
4.4281 6.3732 3.0169
4.7816 2.2413 1.4511
0.2904 4.8821 2.4646
1.4905 0.5224 5.2439
1.1370 4.6543 6.8098
5.6282 2.0136 5.7963
0.0000 0.0000 0.0000
```

Output
crystal system = trigonal
spin magnetization = 0.00 μB/f.u.
DFT total energy = -8.930 eV per atom
DOS(E_F) = 20.00 states/eV per cell
formation enthalpy at 0 K = -0.057 eV per atom